The following is a DFT calculation (GGA-PBE) of a relaxed YCrAs2Ru crystal.

Results
The calculation puts the formation energy at 596 meV per atom. The value obtained for the density is 6.26 g/cm³. The space group is P4/mmm, No. 123.

Unit cell a=4.543 b=5.037 c=4.543 alpha=90.00 beta=90.00 gamma=90.00
Fractional coordinates of all 5 atoms:
Cr (0.000, 0.000, 0.000)
As (0.500, 0.000, 0.000)
As (0.000, 0.000, 0.500)
Y (0.000, 0.500, 0.000)
Ru (0.500, 0.500, 0.500)

The following is a DFT calculation (GGA-PBE) of a relaxed NaGdPb crystal.

Results
The calculation puts the formation energy at -205 meV per atom. The value obtained for the energy relative to the lowest polymorph listed for this composition is 0.000 eV/atom. The value obtained for the density is 6.45 g/cm³. The space group is F-43m, No. 216.

Unit cell a=5.205 b=5.205 c=5.205 alpha=60.00 beta=60.00 gamma=60.00
Fractional coordinates of all 3 atoms:
Na (0.500, 0.500, 0.500)
Gd (0.000, 0.000, 0.000)
Pb (0.250, 0.250, 0.250)

The following is a DFT calculation (GGA-PBE) of a relaxed Na3Ce3HgSe8 crystal.

Results
The value obtained for the uncorrected formation energy is -1315 meV/atom. The value obtained for the density is 5.15 g/cm³. The space group is C2/m, No. 12.

Unit cell a=8.407 b=8.391 c=8.497 alpha=119.58 beta=90.00 gamma=120.06
Fractional coordinates of all 15 atoms:
Se (0.265, 0.016, 0.268)
Se (0.246, 0.492, 0.730)
Se (0.735, 0.984, 0.732)
Se (0.255, 0.509, 0.264)
Se (0.752, 0.016, 0.268)
Se (0.754, 0.508, 0.270)
Se (0.745, 0.491, 0.736)
Se (0.248, 0.984, 0.732)
Ce (0.500, 0.000, 0.500)
Ce (0.000, 0.500, 0.500)
Ce (0.500, 0.500, 0.500)
Na (0.000, 0.500, 0.000)
Na (0.500, 0.500, 0.000)
Na (0.000, 0.000, 0.000)
Hg (0.000, 0.000, 0.500)